VASP calculation (GGA-PBE) on a relaxed structure of Cs2Hg2Br5.

Geometry as POSCAR:
```
Cs2Hg2Br5
1.0
5.668 0.000 0.000
0.000 5.668 0.000
0.000 0.000 11.287
Cs Hg Br
2 2 5
Direct
0.000 0.000 0.000
0.000 0.000 0.500
0.500 0.500 0.241
0.500 0.500 0.759
0.000 0.500 0.216
0.000 0.500 0.784
0.500 0.000 0.216
0.500 0.000 0.784
0.500 0.500 0.500
```

- calculated volume (Å³/f.u.) = 362.6
- symmetry = P4/mmm
- mass density (g cm⁻³) = 4.88
- electronic total energy (eV/atom) = -2.205
- polymorph energy (0 for the lowest one) (eV per atom) = 0.0000
- M_tot (μB per formula unit) = 0.00
- raw formation energy (eV/atom) = -1.019